(1)
Density functional theory data (GGA-PBE) for a geometry-optimized La7SmHo2 structure.

Cell lengths 5.8273, 9.2931, 9.2932 Å; angles 121.75, 90.00, 90.00 degrees
Element x y z (fractional)
1 La 0.0000 0.7634 0.2366
2 La 0.0000 0.2366 0.7634
3 La 0.5000 0.0666 0.2975
4 La 0.5000 0.9334 0.7025
5 La 0.5000 0.2975 0.0666
6 La 0.5000 0.7025 0.9334
7 La 0.5000 0.5000 0.5000
8 Sm 0.0000 0.0000 0.0000
9 Ho 0.5000 0.7040 0.2960
10 Ho 0.5000 0.2960 0.7040

Computed properties:
- volume (A^3/atom) = 42.8
- raw total energy (eV per atom) = -4.24

(2)
Density functional theory data (GGA-PBE) for a geometry-optimized CoSi2Rh structure.

Cell lengths 4.4436, 2.7535, 4.0664 Å; angles 90.00, 90.00, 90.00 degrees
Element x y z (fractional)
1 Co 0.0000 0.3751 0.4890
2 Rh 0.5000 0.8750 0.7495
3 Si 0.0000 0.8751 0.0094
4 Si 0.5000 0.3748 0.2522

Computed properties:
- formation energy from raw total energies (eV per formula unit) = -1.928
- volume (A^3/atom) = 12.4
- raw total energy (eV per atom) = -6.81
- excess energy over the best structure of this formula in the dataset (meV/atom) = 104.1

(3)
Density functional theory data (GGA-PBE) for a geometry-optimized CdSi structure.

Cell lengths 5.2901, 5.2901, 5.2901 Å; angles 90.00, 90.00, 90.00 degrees
Element x y z (fractional)
1 Cd 0.5000 0.0000 0.5000
2 Cd 0.5000 0.5000 0.0000
3 Cd 0.0000 0.5000 0.5000
4 Si 0.0000 0.5000 0.0000
5 Si 0.0000 0.0000 0.5000
6 Si 0.5000 0.0000 0.0000

Computed properties:
- formation energy from raw total energies (eV per formula unit) = 1.450
- volume (A^3/atom) = 24.7
- raw total energy (eV per atom) = -2.44

(4)
Density functional theory data (GGA-PBE) for a geometry-optimized AlTlTe2 structure.

Cell lengths 28.4660, 4.3109, 10.2955 Å; angles 90.00, 151.33, 90.00 degrees
Element x y z (fractional)
1 Tl 0.1232 0.2500 0.8642
2 Tl 0.8768 0.7500 0.1358
3 Tl 0.3768 0.7500 0.6358
4 Tl 0.6232 0.2500 0.3642
5 Te 0.1098 0.7500 0.1731
6 Te 0.8902 0.2500 0.8269
7 Te 0.3902 0.2500 0.3269
8 Te 0.6098 0.7500 0.6731
9 Te 0.1131 0.7500 0.6153
10 Te 0.8869 0.2500 0.3847
11 Te 0.3869 0.2500 0.8847
12 Te 0.6131 0.7500 0.1153
13 Al 0.4902 0.2500 0.3421
14 Al 0.5098 0.7500 0.6579
15 Al 0.0098 0.7500 0.1579
16 Al 0.9902 0.2500 0.8421

Computed properties:
- formation energy from raw total energies (eV per formula unit) = -1.383
- volume (A^3/atom) = 37.9
- raw total energy (eV per atom) = -3.44

(5)
Density functional theory data (GGA-PBE) for a geometry-optimized BeGaSn2 structure.

Cell lengths 3.5504, 3.5504, 9.0618 Å; angles 78.70, 78.70, 60.00 degrees
Element x y z (fractional)
1 Be 0.0000 0.0000 0.0000
2 Sn 0.0903 0.0903 0.7291
3 Sn 0.9097 0.9097 0.2709
4 Ga 0.5000 0.5000 0.5000

Computed properties:
- volume (A^3/atom) = 24.1
- raw total energy (eV per atom) = -3.17
- excess energy over the best structure of this formula in the dataset (meV/atom) = 231.2

(6)
Density functional theory data (GGA-PBE) for a geometry-optimized KUTe3Pt structure.

Cell lengths 4.2020, 8.4821, 11.0054 Å; angles 90.00, 90.00, 104.34 degrees
Last column: magnetic moment on the atom in μB.
Element x y z (fractional)
1 K 0.7559 0.5117 0.7500  0.00
2 K 0.2441 0.4883 0.2500  0.00
3 U 0.0000 0.0000 0.5000  1.76
4 U 0.0000 0.0000 0.0000  1.76
5 Te 0.6291 0.2581 0.4422  -0.07
6 Te 0.3709 0.7419 0.5578  -0.07
7 Te 0.3709 0.7419 0.9422  -0.07
8 Te 0.6291 0.2581 0.0578  -0.07
9 Te 0.0741 0.1482 0.7500  -0.06
10 Te 0.9259 0.8518 0.2500  -0.06
11 Pt 0.4732 0.9464 0.7500  -0.11
12 Pt 0.5268 0.0536 0.2500  -0.11

Computed properties:
- formation energy from raw total energies (eV per formula unit) = -4.447
- volume (A^3/atom) = 31.7
- raw total energy (eV per atom) = -5.38

(7)
Density functional theory data (GGA-PBE) for a geometry-optimized Cu4AgAu structure.

Cell lengths 5.0287, 5.0287, 4.3069 Å; angles 90.01, 90.01, 50.55 degrees
Element x y z (fractional)
1 Cu 0.3209 0.3209 0.0002
2 Cu 0.6791 0.6791 0.9998
3 Cu 0.8193 0.8193 0.4997
4 Cu 0.1807 0.1807 0.5003
5 Ag 0.0000 0.0000 0.0000
6 Au 0.5000 0.5000 0.5000

Computed properties:
- volume (A^3/atom) = 14.0
- raw total energy (eV per atom) = -3.71
- excess energy over the best structure of this formula in the dataset (meV/atom) = 9.7

(8)
Density functional theory data (GGA-PBE) for a geometry-optimized LiPuRu structure.

Cell lengths 2.9426, 4.5069, 4.5069 Å; angles 120.00, 90.00, 90.00 degrees
Last column: magnetic moment on the atom in μB.
Element x y z (fractional)
1 Ru 0.9878 0.0000 0.0000  -0.53
2 Li 0.2790 0.6667 0.3333  0.06
3 Pu 0.7332 0.3333 0.6667  5.30

Computed properties:
- volume (A^3/atom) = 17.3
- raw total energy (eV per atom) = -8.42
- excess energy over the best structure of this formula in the dataset (meV/atom) = 157.9

(9)
Density functional theory data (GGA-PBE) for a geometry-optimized AcGdAs2 structure.

Cell lengths 5.2943, 5.2943, 5.2943 Å; angles 60.00, 60.00, 60.00 degrees
Last column: magnetic moment on the atom in μB.
Element x y z (fractional)
1 Ac 0.5000 0.5000 0.5000  0.02
2 Gd 0.0000 0.0000 0.0000  6.99
3 As 0.2500 0.2500 0.2500  -0.02
4 As 0.7500 0.7500 0.7500  -0.02

Computed properties:
- volume (A^3/atom) = 26.2
- raw total energy (eV per atom) = -7.97
- excess energy over the best structure of this formula in the dataset (meV/atom) = 380.2

(10)
Density functional theory data (GGA-PBE) for a geometry-optimized Cs2PmHF6 structure.

Cell lengths 6.3641, 6.3640, 7.4657 Å; angles 54.17, 54.17, 68.11 degrees
Element x y z (fractional)
1 Cs 0.7500 0.2500 0.5000
2 Cs 0.2500 0.7500 0.5000
3 Pm 0.0000 0.0000 0.0000
4 H 0.5000 0.5000 0.0000
5 F 0.2109 0.2109 0.5783
6 F 0.7887 0.7887 0.0000
7 F 0.3361 0.6639 0.0000
8 F 0.6639 0.3361 0.0000
9 F 0.2113 0.2113 0.0000
10 F 0.7891 0.7891 0.4216

Computed properties:
- volume (A^3/atom) = 19.9
- raw total energy (eV per atom) = -5.10

(11)
Density functional theory data (GGA-PBE) for a geometry-optimized SmUCN structure.

Cell lengths 3.5549, 3.5551, 6.1088 Å; angles 73.08, 106.92, 120.00 degrees
Element x y z (fractional)
1 Sm 0.5936 0.3836 0.6147
2 U 0.0952 0.8820 0.1196
3 C 0.3597 0.6178 0.9131
4 N 0.8294 0.1474 0.3223

Computed properties:
- formation energy from raw total energies (eV per formula unit) = -3.325
- volume (A^3/atom) = 15.7
- raw total energy (eV per atom) = -9.22

(12)
Density functional theory data (GGA-PBE) for a geometry-optimized La2Tb2AlGa4 structure.

Cell lengths 6.7543, 6.7543, 6.7543 Å; angles 96.18, 116.50, 116.50 degrees
Element x y z (fractional)
1 La 0.5000 0.7500 0.2500
2 La 0.5000 0.2500 0.7500
3 Tb 0.0000 0.6835 0.6835
4 Tb 0.0000 0.3165 0.3165
5 Al 0.0000 0.0000 0.0000
6 Ga 0.0000 0.7511 0.2489
7 Ga 0.5022 0.7511 0.7511
8 Ga 0.0000 0.2489 0.7511
9 Ga 0.4978 0.2489 0.2489

Computed properties:
- volume (A^3/atom) = 25.3
- raw total energy (eV per atom) = -4.22

| no. | Fermi-level density of states (states/eV per atom) |
| --- | --- |
| 1 | 1.7849 |
| 2 | 0.7168 |
| 3 | 0.5989 |
| 4 | 0.0000 |
| 5 | 0.4480 |
| 6 | 0.8731 |
| 7 | 0.3567 |
| 8 | 1.5317 |
| 9 | 0.2538 |
| 10 | 0.0000 |
| 11 | 0.8079 |
| 12 | 0.9513 |